# MgTc2Pt PBE-GGA optimized geometry
data_MgTc2Pt
_space_group_name_H-M_alt 'P 1 m 1'
_space_group_IT_number 6
_space_group_name_Hall 'P -2y'
_cell_length_a 2.8173
_cell_length_b 3.8862
_cell_length_c 5.6750
_cell_angle_alpha 90.00
_cell_angle_beta 92.86
_cell_angle_gamma 90.00
loop_
_atom_site_label
_atom_site_type_symbol
_atom_site_fract_x
_atom_site_fract_y
_atom_site_fract_z
Mg1 Mg 0.0000 0.0000 0.0000
Tc1 Tc 0.0710 0.0000 0.5122
Tc2 Tc 0.4822 0.5000 0.7076
Pt1 Pt 0.5234 0.5000 0.2199
# VASP energy = -7.21 eV per atom

# MnBiSe2 PBE-GGA optimized geometry
data_MnBiSe2
_space_group_name_H-M_alt 'C 1 c 1'
_space_group_IT_number 9
_space_group_name_Hall 'C -2yc'
_cell_length_a 7.9793
_cell_length_b 9.8303
_cell_length_c 6.3027
_cell_angle_alpha 90.00
_cell_angle_beta 127.82
_cell_angle_gamma 90.00
loop_
_atom_site_label
_atom_site_type_symbol
_atom_site_fract_x
_atom_site_fract_y
_atom_site_fract_z
Mn1 Mn 0.0000 0.1072 0.0000
Bi1 Bi 0.1715 0.4332 0.5432
Se1 Se 0.1435 0.0818 0.4480
Se2 Se 0.2336 0.2785 0.0962
# uncorrected formation energy = -0.039 eV per atom

# PmPr7Dy2 PBE-GGA optimized geometry
data_PmPr7Dy2
_space_group_name_H-M_alt 'C m m m'
_space_group_IT_number 65
_space_group_name_Hall '-C 2 2'
_cell_length_a 8.9956
_cell_length_b 16.4135
_cell_length_c 5.7609
_cell_angle_alpha 90.00
_cell_angle_beta 90.00
_cell_angle_gamma 90.00
loop_
_atom_site_label
_atom_site_type_symbol
_atom_site_fract_x
_atom_site_fract_y
_atom_site_fract_z
Pm1 Pm 0.0000 0.0000 0.0000
Pr1 Pr 0.0000 0.2269 0.0000
Pr2 Pr 0.0000 0.5000 0.5000
Pr3 Pr 0.1800 0.1151 0.5000
Dy1 Dy 0.0000 0.2958 0.5000
# excess energy over the best structure of this formula in the dataset = 445 meV per atom

# CaSmIn PBE-GGA optimized geometry
data_CaSmIn
_space_group_name_H-M_alt 'P 3 m 1'
_space_group_IT_number 156
_space_group_name_Hall 'P 3 -2"'
_cell_length_a 5.3644
_cell_length_b 5.3644
_cell_length_c 3.7105
_cell_angle_alpha 90.00
_cell_angle_beta 90.00
_cell_angle_gamma 120.00
loop_
_atom_site_label
_atom_site_type_symbol
_atom_site_fract_x
_atom_site_fract_y
_atom_site_fract_z
Ca1 Ca 0.0000 0.0000 0.0000
Sm1 Sm 0.6667 0.3333 0.4328
In1 In 0.3333 0.6667 0.7228
# excess energy over the best structure of this formula in the dataset = 188 meV per atom

# CoNi PBE-GGA optimized geometry
data_CoNi
_space_group_name_H-M_alt 'P -1'
_space_group_IT_number 2
_space_group_name_Hall '-P 1'
_cell_length_a 2.4845
_cell_length_b 4.3386
_cell_length_c 4.7506
_cell_angle_alpha 117.08
_cell_angle_beta 105.13
_cell_angle_gamma 90.11
loop_
_atom_site_label
_atom_site_type_symbol
_atom_site_fract_x
_atom_site_fract_y
_atom_site_fract_z
Co1 Co 0.1252 0.2909 0.2509
Ni1 Ni 0.3763 0.2095 0.7524
# VASP energy = -6.44 eV per atom

# SrPdOF2 PBE-GGA optimized geometry
data_SrPdOF2
_space_group_name_H-M_alt 'P 4/m m m'
_space_group_IT_number 123
_space_group_name_Hall '-P 4 2'
_cell_length_a 4.2751
_cell_length_b 4.2751
_cell_length_c 4.1762
_cell_angle_alpha 90.00
_cell_angle_beta 90.00
_cell_angle_gamma 90.00
loop_
_atom_site_label
_atom_site_type_symbol
_atom_site_fract_x
_atom_site_fract_y
_atom_site_fract_z
Sr1 Sr 0.0000 0.0000 0.0000
Pd1 Pd 0.5000 0.5000 0.5000
O1 O 0.5000 0.5000 0.0000
F1 F 0.0000 0.5000 0.5000
# excess energy over the best structure of this formula in the dataset = 0 meV per atom
# uncorrected formation energy = -1.882 eV per atom

# Dy6Te3Ir2Au PBE-GGA optimized geometry
data_Dy6Te3Ir2Au
_space_group_name_H-M_alt 'C 1 2/m 1'
_space_group_IT_number 12
_space_group_name_Hall '-C 2y'
_cell_length_a 7.2283
_cell_length_b 12.4957
_cell_length_c 7.6671
_cell_angle_alpha 90.00
_cell_angle_beta 108.21
_cell_angle_gamma 90.00
loop_
_atom_site_label
_atom_site_type_symbol
_atom_site_fract_x
_atom_site_fract_y
_atom_site_fract_z
Dy1 Dy 0.2135 0.0000 0.2074
Dy2 Dy 0.2491 0.3221 0.2125
Te1 Te 0.0000 0.0000 0.5000
Te2 Te 0.0000 0.3401 0.5000
Ir1 Ir 0.0000 0.1678 0.0000
Au1 Au 0.0000 0.5000 0.0000
# uncorrected formation energy = -1.074 eV per atom

# YInTe3 PBE-GGA optimized geometry
data_YInTe3
_space_group_name_H-M_alt 'A m a 2'
_space_group_IT_number 40
_space_group_name_Hall 'A 2 -2a'
_cell_length_a 4.4474
_cell_length_b 25.1082
_cell_length_c 7.3256
_cell_angle_alpha 90.00
_cell_angle_beta 90.00
_cell_angle_gamma 90.00
loop_
_atom_site_label
_atom_site_type_symbol
_atom_site_fract_x
_atom_site_fract_y
_atom_site_fract_z
Y1 Y 0.2500 0.1733 0.0000
In1 In 0.2500 0.3721 0.9242
Te1 Te 0.2500 0.0752 0.2594
Te2 Te 0.2500 0.2712 0.7360
Te3 Te 0.2500 0.3868 0.3011
# excess energy over the best structure of this formula in the dataset = 0 meV per atom
# uncorrected formation energy = -0.853 eV per atom